1.
LaTa2Ag: optimized geometry, PBE.

**Energy of formation from the pure elements**: 0.47 eV/atom
**Calculated density**: 11.22 Mg/m³
**E_tot**: -7.40 eV/atom

Unit cell a=10.048 b=2.992 c=6.042 alpha=90.00 beta=97.47 gamma=90.00
Space group Cm (No. 8)
One atom of each set of equivalent atoms:
La  0.000  0.000  0.000
Ta  0.222  0.000  0.644
Ta  0.485  0.000  0.524
Ag  0.257  0.500  0.240

2.
TbPm3Zr2N6: optimized geometry, PBE.

**Energy relative to the elements, uncorrected**: -1585 meV/atom
**Calculated density**: 8.13 Mg/m³
**E_tot**: -8.75 eV/atom

Unit cell a=5.969 b=10.336 c=6.036 alpha=90.00 beta=109.22 gamma=90.00
Space group C2/m (No. 12)
One atom of each set of equivalent atoms:
Tb  0.000  0.000  0.000
Pm  0.000  0.166  0.500
Pm  0.000  0.500  0.500
Zr  0.000  0.334  0.000
N  0.228  0.500  0.223
N  0.249  0.173  0.227

3.
CaSi: optimized geometry, PBE.

**Energy relative to the elements, uncorrected**: -389 meV/atom
**Calculated density**: 2.30 Mg/m³
**E_tot**: -4.10 eV/atom

Unit cell a=3.850 b=8.738 c=5.848 alpha=90.00 beta=90.00 gamma=90.00
Space group Imm2 (No. 44)
One atom of each set of equivalent atoms:
Ca  0.000  0.202  0.000
Si  0.000  0.000  0.482
Si  0.000  0.500  0.242

4.
Pm3PrHo2Te6: optimized geometry, PBE.

**Energy relative to the elements, uncorrected**: -1360 meV/atom
**Calculated density**: 7.50 Mg/m³
**E_tot**: -5.28 eV/atom

Unit cell a=19.321 b=4.398 c=8.940 alpha=90.00 beta=103.01 gamma=90.00
Space group C2/m (No. 12)
One atom of each set of equivalent atoms:
Pm  0.000  0.000  0.000
Pm  0.160  0.500  0.333
Pr  0.000  0.000  0.500
Ho  0.165  0.500  0.830
Te  0.005  0.500  0.756
Te  0.170  0.000  0.078
Te  0.171  0.000  0.593

5.
LiLaP2: optimized geometry, PBE.

**Energy of formation from the pure elements**: -0.74 eV/atom
**Calculated density**: 4.06 Mg/m³
**E_tot**: -5.16 eV/atom

Unit cell a=4.686 b=4.686 c=15.494 alpha=90.00 beta=90.00 gamma=90.00
Space group I-42d (No. 122)
One atom of each set of equivalent atoms:
Li  0.000  0.000  0.000
La  0.000  0.000  0.500
P  0.067  0.250  0.125

6.
AcSm2MgAu4: optimized geometry, PBE.

**Energy of formation from the pure elements**: -0.75 eV/atom
**Calculated density**: 11.05 Mg/m³
**E_tot**: -4.28 eV/atom

Unit cell a=5.1171 b=5.1171 c=26.6352 alpha=90.00 beta=90.00 gamma=120.00
Space group R-3m (No. 166, hexagonal axes)
One atom of each set of equivalent atoms:
Ac  0.0000  0.0000  0.0000
Sm  0.0000  0.0000  0.2360
Mg  0.0000  0.0000  0.5000
Au  0.0000  0.0000  0.1219
Au  0.0000  0.0000  0.3942

7.
MgS2: optimized geometry, PBE.

**Energy relative to the elements, uncorrected**: -834 meV/atom
**Calculated density**: 2.34 Mg/m³
**E_tot**: -4.12 eV/atom

Unit cell a=3.9803 b=3.9803 c=13.7290 alpha=90.00 beta=90.00 gamma=120.00
Space group R-3m (No. 166, hexagonal axes)
One atom of each set of equivalent atoms:
Mg  0.0000  0.0000  0.0000
S  0.0000  0.0000  0.4235

8.
BeP2Br: optimized geometry, PBE.

**Energy relative to the elements, uncorrected**: 456 meV/atom
**Calculated density**: 3.40 Mg/m³
**E_tot**: -3.60 eV/atom

Unit cell a=3.327 b=3.323 c=6.856 alpha=90.00 beta=103.39 gamma=90.00
Space group P2/m (No. 10)
One atom of each set of equivalent atoms:
Be  0.000  0.000  0.000
P  0.000  0.000  0.500
P  0.500  0.500  0.500
Br  0.500  0.500  0.000